(1)
! Rb3Sm3TaS8, optimized geometry, DFT PBE-GGA; values from VASP
! E_form (uncorrected) in eV/atom: -1.62
&SYSTEM
  ibrav = 0, nat = 15, ntyp = 4
/
ATOMIC_SPECIES
S 32.06 S.upf
Rb 85.47 Rb.upf
Sm 150.36 Sm.upf
Ta 180.95 Ta.upf
ATOMIC_POSITIONS crystal
S 0.241 0.029 0.318
S 0.267 0.534 0.302
S 0.788 0.029 0.318
S 0.788 0.577 0.318
Rb 0.000 0.500 0.000
Sm 0.500 0.000 0.500
Rb 0.000 0.000 0.000
S 0.733 0.466 0.698
S 0.212 0.423 0.682
Rb 0.500 0.500 0.000
Ta 0.000 0.000 0.500
S 0.212 0.971 0.682
Sm 0.500 0.500 0.500
S 0.759 0.971 0.682
Sm 0.000 0.500 0.500
CELL_PARAMETERS angstrom
8.022 0.000 0.000
-4.011 6.948 -0.030
0.000 -4.601 7.897

=====

(2)
! KTeSCl2, optimized geometry, DFT PBE-GGA; values from VASP
! E_form (uncorrected) in eV/atom: -0.70
! Energy relative to the lowest polymorph listed for this composition in kJ per mole of atoms: 0.00
&SYSTEM
  ibrav = 0, nat = 5, ntyp = 4
/
ATOMIC_SPECIES
S 32.06 S.upf
Cl 35.45 Cl.upf
K 39.10 K.upf
Te 127.60 Te.upf
ATOMIC_POSITIONS crystal
S 0.000 0.000 0.500
Cl 0.000 0.500 0.000
Cl 0.500 0.000 0.000
K 0.500 0.500 0.500
Te 0.000 0.000 0.000
CELL_PARAMETERS angstrom
5.480 0.000 0.000
0.000 5.480 0.000
0.000 0.000 5.175

=====

(3)
! LaMnAsRh2, optimized geometry, DFT PBE-GGA; values from VASP
! Energy of formation from the pure elements in eV/atom: 1.59
&SYSTEM
  ibrav = 0, nat = 5, ntyp = 4
/
ATOMIC_SPECIES
Rh 102.91 Rh.upf
Mn 54.94 Mn.upf
La 138.91 La.upf
As 74.92 As.upf
ATOMIC_POSITIONS crystal
Rh 0.000 0.000 0.500
Mn 0.500 0.500 0.500
La 0.000 0.000 0.000
Rh 0.500 0.000 0.000
As 0.000 0.500 0.000
CELL_PARAMETERS angstrom
-0.820 2.128 -4.221
-3.002 -4.608 -1.741
-4.014 1.949 1.762

=====

(4)
! YCuW3, optimized geometry, DFT PBE-GGA; values from VASP
! Energy relative to the lowest polymorph listed for this composition in kJ per mole of atoms: 0.00
! Energy of formation from the pure elements in eV/atom: 1.52
&SYSTEM
  ibrav = 0, nat = 5, ntyp = 3
/
ATOMIC_SPECIES
Cu 63.55 Cu.upf
Y 88.91 Y.upf
W 183.84 W.upf
ATOMIC_POSITIONS crystal
Cu 0.000 0.000 0.000
Y 0.500 0.500 0.500
W 0.000 0.500 0.000
W 0.500 0.000 0.000
W 0.000 0.000 0.500
CELL_PARAMETERS angstrom
-2.442 3.608 -1.602
-3.645 -1.338 2.543
1.515 2.596 3.538

=====

| no. | uncorrected energy (eV/atom) | mass density (g/cm³) |
| --- | --- | --- |
| 1 | -5.75 | 4.331 |
| 2 | -3.11 | 2.882 |
| 3 | -5.10 | 5.936 |
| 4 | -8.36 | 11.686 |